Entry 1:
Compound: Cs8AgAu2
Source: Alexandria via LeMat-Bulk
Functional: GGA-PBE
Structure: relaxed

CIF file:
```
data_Cs8AgAu2
_chemical_formula_sum 'Cs8 Ag1 Au2'
_space_group_name_H-M_alt 'P 1'
_space_group_IT_number 1
_cell_length_a 7.715
_cell_length_b 11.732
_cell_length_c 11.729
_cell_angle_alpha 120.03
_cell_angle_beta 89.99
_cell_angle_gamma 90.00
loop_
_space_group_symop_operation_xyz
'x,y,z'
loop_
_atom_site_label
_atom_site_fract_x
_atom_site_fract_y
_atom_site_fract_z
Au1 0.808 0.667 0.333
Au2 0.192 0.333 0.667
Cs1 0.242 0.164 0.840
Cs2 0.242 0.675 0.836
Cs3 0.713 0.333 0.667
Cs4 0.758 0.840 0.675
Cs5 0.758 0.836 0.160
Cs6 0.287 0.667 0.333
Cs7 0.242 0.160 0.325
Cs8 0.758 0.325 0.164
Ag1 0.000 0.000 0.000
```

## Properties
E_tot in eV per formula unit: -16.84
Calculated volume in A^3/atom: 83.553
Total magnetization in μB/cell: 0.0


Entry 2:
Compound: Cs2Ag2Au
Source: Alexandria via LeMat-Bulk
Functional: GGA-PBE
Structure: relaxed

CIF file:
```
data_Cs2Ag2Au
_chemical_formula_sum 'Cs2 Ag2 Au1'
_space_group_name_H-M_alt 'P 1'
_space_group_IT_number 1
_cell_length_a 4.059
_cell_length_b 4.059
_cell_length_c 11.241
_cell_angle_alpha 79.60
_cell_angle_beta 79.60
_cell_angle_gamma 90.00
loop_
_space_group_symop_operation_xyz
'x,y,z'
loop_
_atom_site_label
_atom_site_fract_x
_atom_site_fract_y
_atom_site_fract_z
Ag1 0.750 0.250 0.500
Ag2 0.250 0.750 0.500
Cs1 0.604 0.604 0.792
Cs2 0.396 0.396 0.208
Au1 0.000 0.000 0.000
```

## Properties
E_tot in eV per formula unit: -10.89
Calculated volume in A^3/atom: 35.811
Total magnetization in μB/cell: 0.0
Energy above the lowest structure with this stoichiometry in meV/atom: 0


Entry 3:
Compound: CsAg3Au
Source: Alexandria via LeMat-Bulk
Functional: GGA-PBE
Structure: relaxed

CIF file:
```
data_CsAg3Au
_chemical_formula_sum 'Cs1 Ag3 Au1'
_space_group_name_H-M_alt 'P 1'
_space_group_IT_number 1
_cell_length_a 5.393
_cell_length_b 5.393
_cell_length_c 5.393
_cell_angle_alpha 90.00
_cell_angle_beta 90.00
_cell_angle_gamma 90.00
loop_
_space_group_symop_operation_xyz
'x,y,z'
loop_
_atom_site_label
_atom_site_fract_x
_atom_site_fract_y
_atom_site_fract_z
Ag1 0.000 0.000 0.500
Ag2 0.500 0.000 0.000
Ag3 0.000 0.500 0.000
Au1 0.000 0.000 0.000
Cs1 0.500 0.500 0.500
```

## Properties
E_tot in eV per formula unit: -11.71
Calculated volume in A^3/atom: 31.366
Total magnetization in μB/cell: 0.0
Energy above the lowest structure with this stoichiometry in meV/atom: 0


Entry 4:
Compound: CsAgAu
Source: Alexandria via LeMat-Bulk
Functional: GGA-PBE
Structure: relaxed

CIF file:
```
data_CsAgAu
_chemical_formula_sum 'Cs1 Ag1 Au1'
_space_group_name_H-M_alt 'P 1'
_space_group_IT_number 1
_cell_length_a 3.923
_cell_length_b 3.923
_cell_length_c 6.865
_cell_angle_alpha 106.60
_cell_angle_beta 106.60
_cell_angle_gamma 90.00
loop_
_space_group_symop_operation_xyz
'x,y,z'
loop_
_atom_site_label
_atom_site_fract_x
_atom_site_fract_y
_atom_site_fract_z
Cs1 0.002 0.002 0.003
Ag1 0.266 0.266 0.532
Au1 0.733 0.733 0.465
```

## Properties
E_tot in eV per formula unit: -7.02
Calculated volume in A^3/atom: 32.217
Total magnetization in μB/cell: 0.0
Energy above the lowest structure with this stoichiometry in meV/atom: 89


Entry 5:
Compound: Cs12Ag6Au
Source: Alexandria via LeMat-Bulk
Functional: GGA-PBE
Structure: relaxed

CIF file:
```
data_Cs12Ag6Au
_chemical_formula_sum 'Cs12 Ag6 Au1'
_space_group_name_H-M_alt 'P 1'
_space_group_IT_number 1
_cell_length_a 10.356
_cell_length_b 10.356
_cell_length_c 10.356
_cell_angle_alpha 101.30
_cell_angle_beta 101.30
_cell_angle_gamma 101.30
loop_
_space_group_symop_operation_xyz
'x,y,z'
loop_
_atom_site_label
_atom_site_fract_x
_atom_site_fract_y
_atom_site_fract_z
Ag1 0.305 0.660 0.566
Ag2 0.660 0.566 0.305
Ag3 0.434 0.695 0.340
Ag4 0.566 0.305 0.660
Ag5 0.340 0.434 0.695
Ag6 0.695 0.340 0.434
Cs1 0.626 0.920 0.668
Cs2 0.055 0.716 0.250
Cs3 0.668 0.626 0.920
Cs4 0.080 0.332 0.374
Cs5 0.945 0.284 0.750
Cs6 0.750 0.945 0.284
Cs7 0.716 0.250 0.055
Cs8 0.284 0.750 0.945
Cs9 0.920 0.668 0.626
Cs10 0.374 0.080 0.332
Cs11 0.250 0.055 0.716
Cs12 0.332 0.374 0.080
Au1 0.000 0.000 0.000
```

## Properties
E_tot in eV per formula unit: -29.04
Calculated volume in A^3/atom: 54.514
Total magnetization in μB/cell: 0.0


Entry 6:
Compound: CsAgAu2
Source: Alexandria via LeMat-Bulk
Functional: GGA-PBE
Structure: relaxed

CIF file:
```
data_CsAgAu2
_chemical_formula_sum 'Cs2 Ag2 Au4'
_space_group_name_H-M_alt 'P 1'
_space_group_IT_number 1
_cell_length_a 4.796
_cell_length_b 6.604
_cell_length_c 8.239
_cell_angle_alpha 90.00
_cell_angle_beta 90.00
_cell_angle_gamma 90.00
loop_
_space_group_symop_operation_xyz
'x,y,z'
loop_
_atom_site_label
_atom_site_fract_x
_atom_site_fract_y
_atom_site_fract_z
Au1 0.000 0.561 0.675
Au2 0.500 0.439 0.175
Au3 0.500 0.439 0.825
Au4 0.000 0.561 0.325
Cs1 0.500 0.917 0.000
Cs2 0.000 0.083 0.500
Ag1 0.500 0.586 0.500
Ag2 0.000 0.414 0.000
```

## Properties
E_tot in eV per formula unit: -10.95
Calculated volume in A^3/atom: 32.617
Total magnetization in μB/cell: 0.0
Energy above the lowest structure with this stoichiometry in meV/atom: 9